Pm2NdBi after structural relaxation, computed with PBE.

Computed properties:
Formation enthalpy at 0 K: -0.222 eV per atom
Total DFT energy (no corrections): -57.1 eV per cell
N(E_F): 14.50 states/eV per cell
Offset from the most stable computed form: 0.233 eV per atom
Spin magnetization: 0.072 μB/atom

a b c (Å): 4.146 4.146 29.244
angles (deg): 90.00 90.00 120.00
Element x y z (fractional)
Pm1 0.000 0.000 0.000
Pm2 0.000 0.000 0.193
Pm3 0.333 0.667 0.667
Pm4 0.333 0.667 0.860
Pm5 0.667 0.333 0.333
Pm6 0.667 0.333 0.526
Nd1 0.000 0.000 0.430
Nd2 0.333 0.667 0.097
Nd3 0.667 0.333 0.763
Bi1 0.000 0.000 0.596
Bi2 0.333 0.667 0.263
Bi3 0.667 0.333 0.930